# 1
# Tl2Mo9Se11 PBE optimized geometry
data_Tl2Mo9Se11
_chemical_formula_sum 'Tl12 Mo54 Se66'
_symmetry_space_group_name_H-M 'R -3'
_symmetry_Int_Tables_number 148
_symmetry_space_group_name_Hall '-R 3'
_cell_length_a 9.7987
_cell_length_b 9.7987
_cell_length_c 36.7330
_cell_angle_alpha 90.00
_cell_angle_beta 90.00
_cell_angle_gamma 120.00
loop_
_atom_site_label
_atom_site_fract_x
_atom_site_fract_y
_atom_site_fract_z
_atom_site_occupancy
Tl1 0.0000 0.0000 0.1694 1
Tl2 0.0000 0.0000 0.2682 1
Mo1 0.0092 0.8463 0.4698 1
Mo2 0.0142 0.8483 0.0308 1
Mo3 0.0155 0.8528 0.5931 1
Se1 0.0000 0.0000 0.0856 1
Se2 0.0000 0.0000 0.3519 1
Se3 0.0097 0.6369 0.0785 1
Se4 0.0109 0.6357 0.6396 1
Se5 0.0150 0.6481 0.1990 1
# ρ   6.98 Mg/m³
# Energy   -6.91 eV/atom
# Formation energy from raw total energies   -0.517 eV per atom
# Crystal system   trigonal



# 2
# TlMo2Se PBE optimized geometry
data_TlMo2Se
_chemical_formula_sum 'Tl1 Mo2 Se1'
_symmetry_space_group_name_H-M 'P 1 m 1'
_symmetry_Int_Tables_number 6
_cell_length_a 3.1190
_cell_length_b 4.6063
_cell_length_c 5.6188
_cell_angle_alpha 90.00
_cell_angle_beta 105.95
_cell_angle_gamma 90.00
loop_
_symmetry_equiv_pos_as_xyz
'x,y,z'
'x,-y,z'
loop_
_atom_site_label
_atom_site_fract_x
_atom_site_fract_y
_atom_site_fract_z
_atom_site_occupancy
Tl1 0.0000 0.0000 0.0000 1
Mo1 0.2624 0.0000 0.5139 1
Mo2 0.6705 0.5000 0.3337 1
Se1 0.3483 0.5000 0.6945 1
# Distance to the lowest polymorph of the same formula   0.210 eV/atom
# ρ   10.17 Mg/m³
# Energy   -6.47 eV/atom
# Formation energy from raw total energies   0.405 eV per atom
# Crystal system   monoclinic